The following is a GGA+U calculation of a geometry-optimized Nd2ScVO6 structure, from Alexandria via LeMat-Bulk.

```
data_Nd2ScVO6
_symmetry_space_group_name_H-M 'P 1 21/c 1'
_symmetry_Int_Tables_number 14
_cell_length_a 5.5465
_cell_length_b 5.7712
_cell_length_c 9.7080
_cell_angle_alpha 90.00
_cell_angle_beta 124.60
_cell_angle_gamma 90.00
loop_
_symmetry_equiv_pos_as_xyz
'x,y,z'
'-x,-y,-z'
'-x,y+1/2,-z+1/2'
'x,-y+1/2,z+1/2'
loop_
_atom_site_label
_atom_site_type_symbol
_atom_site_fract_x
_atom_site_fract_y
_atom_site_fract_z
Nd1 Nd 0.2338 0.0581 0.2500
Sc1 Sc 0.5000 0.0000 0.0000
V1 V 0.0000 0.0000 0.5000
O1 O 0.1411 0.2057 0.9454
O2 O 0.2427 0.6997 0.9461
O3 O 0.3506 0.0348 0.7470
```

Density of states at the Fermi level ... 0.00 states/eV per cell
Size of the total moment ... 4.00 μB per cell
Total energy ... -8.437 eV per atom